Below is a relaxed SbOs crystal, with properties calculated at the PBEsol level.

Structure (extended XYZ):
```
6
Lattice="-0.139 2.839 -1.169 -2.310 0.024 4.372 6.974 1.563 2.964" Properties=species:S:1:pos:R:3 pbc="T T T"
Os 3.086 1.748 3.876
Os 0.262 0.243 0.560
Os 0.089 1.640 3.973
Sb 5.088 3.637 4.185
Sb 1.771 3.765 4.891
Sb 1.324 2.464 1.785
```

**Space group**: Cm
**Energy relative to the elements, uncorrected**: 0.55 eV per atom

***

Below is a relaxed MnSi2Ru crystal, with properties calculated at the PBEsol level.

Structure (extended XYZ):
```
4
Lattice="-0.099 2.743 0.221 -2.355 1.240 0.707 1.104 0.807 7.623" Properties=species:S:1:pos:R:3 pbc="T T T"
Mn -0.654 2.390 4.354
Si -1.038 3.600 6.314
Si -2.443 3.980 0.969
Ru -0.342 1.199 2.119
```

**Space group**: R3m
**Energy relative to the elements, uncorrected**: -0.09 eV per atom

***

Below is a relaxed CdCuPt crystal, with properties calculated at the PBEsol level.

Structure (extended XYZ):
```
3
Lattice="-2.528 0.177 1.314 -0.595 -3.616 -0.657 3.425 0.737 3.391" Properties=species:S:1:pos:R:3 pbc="T T T"
Cd 0.007 -0.004 0.014
Pt 1.206 -0.635 2.405
Cu -0.910 -2.063 1.628
```

**Space group**: Imm2
**Offset from the most stable computed form**: 0.0000 eV per atom